Record 1
Here is crystalline K3Tl3CrBr8 at its relaxed geometry from Alexandria via LeMat-Bulk. Energies are from GGA-PBE.

Calculated values
- Raw total energy: -3.38 eV per atom
- Uncorrected formation energy: -1.149 eV/atom

Cell lengths 9.3214, 9.3214, 9.3949 Å; angles 119.74, 90.00, 120.00 degrees
Last column: magnetic moment on the atom in μB.
Atoms (fractional coordinates):
K  0.5000  0.5000  0.5000  0.00
K  0.5000  0.0000  0.5000  0.00
K  0.0000  0.5000  0.5000  0.00
Br  0.7476  0.4952  0.7429  0.00
Br  0.2070  0.0018  0.2964  -0.01
Br  0.7930  0.9982  0.7036  -0.01
Br  0.7947  0.0018  0.2964  -0.01
Br  0.7945  0.5890  0.2962  -0.01
Br  0.2053  0.9982  0.7036  -0.01
Br  0.2524  0.5048  0.2571  0.00
Br  0.2055  0.4110  0.7038  -0.01
Tl  0.5000  0.5000  0.0000  0.00
Tl  0.0000  0.0000  0.0000  0.00
Tl  0.0000  0.5000  0.0000  0.00
Cr  0.0000  0.0000  0.5000  3.64

Record 2
Here is crystalline K4TlCr3Br12 at its relaxed geometry from Alexandria via LeMat-Bulk. Energies are from GGA-PBE.

Calculated values
- Raw total energy: -3.87 eV per atom
- Uncorrected formation energy: -1.083 eV/atom

Cell lengths 9.4608, 9.4608, 9.4608 Å; angles 109.47, 109.47, 109.47 degrees
Last column: magnetic moment on the atom in μB.
Atoms (fractional coordinates):
Br  0.7251  0.0000  0.7251  -0.02
Br  0.2500  0.5000  0.7500  -0.03
Br  0.0000  0.7251  0.7251  -0.02
Br  0.2749  0.0000  0.2749  -0.02
Br  0.5000  0.2500  0.7500  -0.03
Br  0.2749  0.2749  0.0000  -0.02
Br  0.5000  0.7500  0.2500  -0.03
Br  0.2500  0.7500  0.5000  -0.03
Br  0.0000  0.2749  0.2749  -0.02
Br  0.7500  0.2500  0.5000  -0.03
Br  0.7500  0.5000  0.2500  -0.03
Br  0.7251  0.7251  0.0000  -0.02
K  0.0000  0.5000  0.0000  0.00
K  0.0000  0.0000  0.5000  0.00
K  0.5000  0.5000  0.5000  0.00
K  0.5000  0.0000  0.0000  0.00
Cr  0.0000  0.5000  0.5000  3.45
Cr  0.5000  0.0000  0.5000  3.45
Cr  0.5000  0.5000  0.0000  3.45
Tl  0.0000  0.0000  0.0000  -0.04

Record 3
Here is crystalline K3TlCr2Br9 at its relaxed geometry from Alexandria via LeMat-Bulk. Energies are from GGA-PBE.

Calculated values
- Raw total energy: -3.77 eV per atom
- Uncorrected formation energy: -1.101 eV/atom

Cell lengths 7.4781, 7.4781, 10.6891 Å; angles 90.00, 90.00, 120.00 degrees
Last column: magnetic moment on the atom in μB.
Atoms (fractional coordinates):
Br  0.1708  0.8292  0.2789  -0.03
Br  0.5000  0.0000  0.0000  -0.02
Br  0.6585  0.8292  0.2789  -0.03
Br  0.3415  0.1708  0.7211  -0.03
Br  0.8292  0.1708  0.7211  -0.03
Br  0.0000  0.5000  0.0000  -0.02
Br  0.8292  0.6585  0.7211  -0.03
Br  0.1708  0.3415  0.2789  -0.03
Br  0.5000  0.5000  0.0000  -0.02
K  0.3333  0.6667  0.7488  0.00
K  0.0000  0.0000  0.0000  0.00
K  0.6667  0.3333  0.2512  0.00
Tl  0.0000  0.0000  0.5000  -0.01
Cr  0.3333  0.6667  0.1515  3.31
Cr  0.6667  0.3333  0.8485  3.31

Record 4
Here is crystalline KVCrBr6 at its relaxed geometry from Alexandria via LeMat-Bulk. Energies are from GGA-PBE.

Calculated values
- Raw total energy: -4.33 eV per atom
- Uncorrected formation energy: -1.015 eV/atom

Cell lengths 6.7116, 6.7116, 14.8577 Å; angles 90.00, 90.00, 120.00 degrees
Last column: magnetic moment on the atom in μB.
Atoms (fractional coordinates):
V  0.3333  0.6667  0.2500  2.39
V  0.6667  0.3333  0.7500  2.39
Br  0.6360  0.0037  0.3478  -0.03
Br  0.9963  0.6323  0.3478  -0.03
Br  0.6323  0.6360  0.6522  -0.03
Br  0.3677  0.0037  0.1522  -0.03
Br  0.6360  0.6323  0.1522  -0.03
Br  0.0037  0.6360  0.8478  -0.03
Br  0.9963  0.3640  0.1522  -0.03
Br  0.3640  0.3677  0.8478  -0.03
Br  0.3677  0.3640  0.3478  -0.03
Br  0.0037  0.3677  0.6522  -0.03
Br  0.3640  0.9963  0.6522  -0.03
Br  0.6323  0.9963  0.8478  -0.03
K  0.0000  0.0000  0.5000  0.00
K  0.0000  0.0000  0.0000  0.00
Cr  0.3333  0.6667  0.7500  3.21
Cr  0.6667  0.3333  0.2500  3.21

Record 5
Here is crystalline K2CrWBr at its relaxed geometry from Alexandria via LeMat-Bulk. Energies are from GGA-PBE.

Calculated values
- Raw total energy: -3.98 eV per atom
- Uncorrected formation energy: 1.305 eV/atom

Cell lengths 6.2898, 5.1885, 6.2898 Å; angles 90.00, 90.00, 90.00 degrees
Last column: magnetic moment on the atom in μB.
Atoms (fractional coordinates):
W  0.0000  0.5000  0.0000  3.01
K  0.0000  0.0000  0.5000  0.01
K  0.5000  0.0000  0.0000  0.01
Br  0.0000  0.0000  0.0000  0.06
Cr  0.5000  0.5000  0.5000  4.28

Record 6
Here is crystalline KCrW2Br at its relaxed geometry from Alexandria via LeMat-Bulk. Energies are from GGA-PBE.

Calculated values
- Raw total energy: -3.88 eV per atom
- Uncorrected formation energy: 3.781 eV/atom

Cell lengths 4.6095, 5.2430, 4.6095 Å; angles 90.00, 90.00, 90.00 degrees
Last column: magnetic moment on the atom in μB.
Atoms (fractional coordinates):
Br  0.0000  0.5000  0.0000  0.00
W  0.5000  0.0000  0.0000  0.06
W  0.0000  0.0000  0.5000  0.01
Cr  0.5000  0.5000  0.5000  0.13
K  0.0000  0.0000  0.0000  0.00

- Which of these has the highest raw total energy?
  K3Tl3CrBr8

- Among the records above, which one has the lowest uncorrected formation energy?
  K3Tl3CrBr8

- Which of these has the highest uncorrected formation energy?
  KCrW2Br